Compound: Te2PW
Source: Alexandria
Functional: PBE
Structure: optimized geometry

abc: 7.076 7.076 7.076
angles: 153.12 139.69 49.12
Positions (direct):
P 0.640 0.140 0.500
Te 0.324 0.824 0.500
Te 0.040 0.040 0.000
W 0.496 0.496 0.000

**Symmetry**: Imm2, No. 44
**DFT total energy**: -22.87 eV per cell
**Magnetic moment**: 0.00 μB/f.u.

***

Compound: Te2PW
Source: Alexandria
Functional: PBE
Structure: optimized geometry

abc: 4.688 4.688 5.806
angles: 81.43 81.43 43.47
Positions (direct):
Te 0.224 0.224 0.775
Te 0.776 0.776 0.225
P 0.000 0.000 0.500
W 0.500 0.500 0.000

**Symmetry**: C2/m, No. 12
**DFT total energy**: -21.64 eV per cell
**Magnetic moment**: 0.00 μB/f.u.

***

Compound: Te2PW
Source: Alexandria
Functional: PBE
Structure: optimized geometry

abc: 3.085 3.085 9.904
angles: 90.00 90.00 114.70
Positions (direct):
W 0.500 0.500 0.500
P 0.500 0.500 0.000
Te 0.000 0.000 0.271
Te 0.000 0.000 0.729

**Symmetry**: Cmmm, No. 65
**DFT total energy**: -21.07 eV per cell
**Magnetic moment**: 0.00 μB/f.u.

***

Compound: Te2PW
Source: Alexandria
Functional: PBE
Structure: optimized geometry

abc: 4.338 4.338 7.644
angles: 84.92 84.92 47.79
Positions (direct):
P 0.800 0.800 0.651
W 0.506 0.506 0.595
Te 0.211 0.211 0.356
Te 0.983 0.983 0.897

**Symmetry**: Cm, No. 8
**DFT total energy**: -24.30 eV per cell
**Magnetic moment**: 0.00 μB/f.u.

***

Compound: Te2PW
Source: Alexandria
Functional: PBE
Structure: optimized geometry

abc: 6.536 6.536 7.154
angles: 62.82 62.82 90.00
Positions (direct):
Te 0.875 0.895 0.750
Te 0.105 0.625 0.250
Te 0.375 0.355 0.750
Te 0.645 0.125 0.250
P 0.500 0.500 0.000
P 0.250 0.750 0.500
W 0.000 0.000 0.000
W 0.750 0.250 0.500

**Symmetry**: I-42d, No. 122
**DFT total energy**: -41.69 eV per cell
**Magnetic moment**: 0.00 μB/f.u.

***

Compound: YTe2P
Source: Alexandria
Functional: PBE
Structure: optimized geometry

abc: 8.570 8.570 8.570
angles: 154.17 153.08 37.65
Positions (direct):
Te 0.987 0.987 0.000
Te 0.236 0.736 0.500
Y 0.571 0.571 0.000
P 0.706 0.206 0.500

**Symmetry**: Imm2, No. 44
**DFT total energy**: -21.07 eV per cell
**Magnetic moment**: 0.00 μB/f.u.

***

Compound: Y2TeP
Source: Alexandria
Functional: PBE
Structure: optimized geometry

abc: 4.120 4.120 7.467
angles: 74.01 74.01 60.00
Positions (direct):
Y 0.486 0.486 0.540
Y 0.014 0.014 0.960
P 0.750 0.750 0.750
Te 0.250 0.250 0.250

**Symmetry**: R-3m, No. 166
**DFT total energy**: -27.77 eV per cell
**Magnetic moment**: 0.00 μB/f.u.
**Excess energy over the best structure of this formula in the dataset**: 0 meV/atom

***

Compound: YTe2P
Source: Alexandria
Functional: PBE
Structure: optimized geometry

abc: 4.163 4.184 6.089
angles: 90.00 90.00 90.00
Positions (direct):
P 0.000 0.500 0.500
Te 0.500 0.000 0.500
Te 0.000 0.000 0.000
Y 0.500 0.500 0.000

**Symmetry**: Pmmm, No. 47
**DFT total energy**: -19.62 eV per cell
**Magnetic moment**: 0.00 μB/f.u.

***

Compound: Y2TeP
Source: Alexandria
Functional: PBE
Structure: optimized geometry

abc: 5.208 5.208 3.668
angles: 84.18 84.18 90.73
Positions (direct):
P 0.000 0.000 0.500
Te 0.500 0.500 0.500
Y 0.500 0.000 0.000
Y 0.000 0.500 0.000

**Symmetry**: C2/m, No. 12
**DFT total energy**: -25.62 eV per cell
**Magnetic moment**: 0.00 μB/f.u.
**Excess energy over the best structure of this formula in the dataset**: 538 meV/atom

***

Compound: Y2TeP
Source: Alexandria
Functional: PBE
Structure: optimized geometry

abc: 5.350 5.350 5.350
angles: 130.96 112.93 87.41
Positions (direct):
Y 0.772 0.772 0.000
Y 0.228 0.228 0.000
Te 0.500 0.000 0.500
P 0.000 0.500 0.500

**Symmetry**: Immm, No. 71
**DFT total energy**: -25.82 eV per cell
**Magnetic moment**: 0.00 μB/f.u.
**Excess energy over the best structure of this formula in the dataset**: 488 meV/atom

***

Compound: YTe2P
Source: Alexandria
Functional: PBE
Structure: optimized geometry

abc: 5.687 5.687 9.335
angles: 72.27 72.27 90.00
Positions (direct):
Y 0.750 0.250 0.500
Y 0.000 0.000 0.000
P 0.500 0.500 0.000
P 0.250 0.750 0.500
Te 0.875 0.835 0.750
Te 0.375 0.415 0.750
Te 0.585 0.125 0.250
Te 0.165 0.625 0.250

**Symmetry**: I-42d, No. 122
**DFT total energy**: -37.60 eV per cell
**Magnetic moment**: 0.00 μB/f.u.

***

Compound: Y2TeP
Source: Alexandria
Functional: PBE
Structure: optimized geometry

abc: 4.199 4.199 5.934
angles: 90.00 90.00 90.00
Positions (direct):
Y 0.500 0.500 0.000
Y 0.000 0.000 0.500
P 0.000 0.000 0.000
Te 0.500 0.500 0.500

**Symmetry**: P4/mmm, No. 123
**DFT total energy**: -27.11 eV per cell
**Magnetic moment**: 0.00 μB/f.u.
**Excess energy over the best structure of this formula in the dataset**: 167 meV/atom